Entry 1:
Here is a relaxed Th4GaTc4 crystal from Alexandria. Energies are from PBE-GGA.

```
Th4GaTc4
1.0
5.2783 0.0000 0.0000
0.0000 9.6303 0.9268
0.0000 0.8773 8.2939
Th Ga Tc
8 2 8
direct
0.1275 0.5721 0.1604
0.1275 0.9279 0.3396
0.6119 0.8145 0.0050
0.6119 0.6855 0.4950
0.8725 0.4279 0.8396
0.8725 0.0721 0.6604
0.3881 0.1855 0.9950
0.3881 0.3145 0.5050
0.8513 0.2500 0.2500
0.1487 0.7500 0.7500
0.1217 0.6070 0.5272
0.1217 0.8930 0.9728
0.6141 0.5029 0.1529
0.6141 0.9971 0.3471
0.8783 0.3930 0.4728
0.8783 0.1070 0.0272
0.3859 0.4971 0.8471
0.3859 0.0029 0.6529
```

Calculated values
space group	No. 13
total energy	-8.40	eV/atom

Entry 2:
Here is a relaxed ThGa8Tc4 crystal from Alexandria. Energies are from PBE-GGA.

```
ThGa8Tc4
1.0
5.2580 0.0000 0.0000
2.6290 6.4149 0.0000
2.6290 0.0000 6.4149
Th Ga Tc
1 8 4
direct
0.0000 0.0000 0.0000
0.0000 0.3515 0.6485
0.0000 0.6485 0.3515
0.3515 0.6485 0.6485
0.6485 0.3515 0.3515
0.5000 0.7856 0.2144
0.5000 0.2144 0.7856
0.2856 0.2144 0.2144
0.7144 0.7856 0.7856
0.0000 0.0000 0.5000
0.5000 0.0000 0.5000
0.0000 0.5000 0.0000
0.5000 0.5000 0.0000
```

Calculated values
space group	No. 139
total energy	-5.90	eV/atom

Entry 3:
Here is a relaxed Th2Ga8Tc crystal from Alexandria. Energies are from PBE-GGA.

```
Th2Ga8Tc
1.0
4.4289 0.0000 0.0000
0.0000 4.4289 0.0000
0.0000 0.0000 11.5441
Ga Th Tc
8 2 1
direct
0.0000 0.5000 0.5000
0.5000 0.0000 0.5000
0.5000 0.5000 0.3095
0.5000 0.5000 0.6905
0.0000 0.5000 0.1152
0.5000 0.0000 0.1152
0.0000 0.5000 0.8848
0.5000 0.0000 0.8848
0.0000 0.0000 0.3052
0.0000 0.0000 0.6948
0.0000 0.0000 0.0000
```

Calculated values
space group	No. 123
total energy	-4.89	eV/atom

Entry 4:
Here is a relaxed Th2Ga3Tc crystal from Alexandria. Energies are from PBE-GGA.

```
Th2Ga3Tc
1.0
3.8312 0.0000 0.0000
0.0000 4.4583 0.0000
0.0000 0.0000 7.8052
Th Ga Tc
2 3 1
direct
0.0000 0.5000 0.0266
0.0000 0.0000 0.4797
0.5000 0.0000 0.8333
0.5000 0.0000 0.1641
0.5000 0.5000 0.6659
0.5000 0.5000 0.3305
```

Calculated values
polymorph energy (0 for the lowest one)	0.00	eV per formula unit
space group	No. 25

Entry 5:
Here is a relaxed ThGa2Tc crystal from Alexandria. Energies are from PBE-GGA.

```
ThGa2Tc
1.0
-1.4264 -5.5334 2.2807
2.3994 -3.0014 -5.7816
6.8628 -0.4903 3.1026
Th Ga Tc
4 8 4
direct
0.4045 0.2500 0.0424
0.9045 0.7500 0.4576
0.5955 0.7500 0.9576
0.0955 0.2500 0.5424
0.9185 0.0576 0.1514
0.4185 0.9424 0.3486
0.0815 0.5576 0.8486
0.5815 0.4424 0.6514
0.0815 0.9424 0.8486
0.5815 0.0576 0.6514
0.9185 0.4424 0.1514
0.4185 0.5576 0.3486
0.6599 0.2500 0.3523
0.1599 0.7500 0.1477
0.3401 0.7500 0.6477
0.8401 0.2500 0.8523
```

Calculated values
polymorph energy (0 for the lowest one)	0.19	eV per formula unit
space group	No. 62

Entry 6:
Here is a relaxed ThGaTc crystal from Alexandria. Energies are from PBE-GGA.

```
ThGaTc
1.0
3.8548 0.0000 0.0000
0.0000 4.4197 0.0000
0.0000 -2.2098 3.8275
Ga Tc Th
1 1 1
direct
0.1665 0.0000 0.0000
0.1668 0.3333 0.6667
0.6668 0.6667 0.3333
```

Calculated values
polymorph energy (0 for the lowest one)	0.56	eV per formula unit
space group	No. 187

Entry 7:
Here is a relaxed ThGa5Tc crystal from Alexandria. Energies are from PBE-GGA.

```
ThGa5Tc
1.0
4.4790 0.0000 0.0000
0.0000 4.4790 0.0000
0.0000 0.0000 6.9667
Th Ga Tc
1 5 1
direct
0.0000 0.0000 0.0000
0.5000 0.0000 0.6877
0.0000 0.5000 0.6877
0.5000 0.5000 0.0000
0.0000 0.5000 0.3123
0.5000 0.0000 0.3123
0.0000 0.0000 0.5000
```

Calculated values
space group	No. 123
total energy	-5.07	eV/atom

Entry 8:
Here is a relaxed Th2GaTc crystal from Alexandria. Energies are from PBE-GGA.

```
Th2GaTc
1.0
-0.9624 -0.1768 -3.4261
0.4439 -3.5348 0.0578
-7.3015 -0.8826 2.0965
Ga Tc Th
1 1 2
direct
0.5000 0.5000 0.5000
0.5000 0.5000 0.0000
0.0000 0.0000 0.7713
0.0000 0.0000 0.2287
```

Calculated values
space group	No. 123
total energy	-7.30	eV/atom

Entry 9:
Here is a relaxed Th2GaTc crystal from Alexandria. Energies are from PBE-GGA.

```
Th2GaTc
1.0
4.0109 0.0000 0.0000
0.0000 4.0374 -1.5303
0.0000 -0.0205 6.0370
Th Ga Tc
2 1 1
direct
0.0000 0.9946 0.9892
0.5000 0.2738 0.5475
0.0000 0.6950 0.3901
0.5000 0.5358 0.0717
```

Calculated values
space group	No. 38
total energy	-7.39	eV/atom

Entry 10:
Here is a relaxed Th2GaTc2 crystal from Alexandria. Energies are from PBE-GGA.

```
Th2GaTc2
1.0
-3.6510 2.4749 3.3693
4.6409 -2.5597 2.3375
2.5368 7.3653 -2.6612
Th Ga Tc
4 2 4
direct
0.4943 0.2927 0.1451
0.2016 0.7073 0.3549
0.5057 0.7073 0.8549
0.7984 0.2927 0.6451
0.8792 0.0000 0.2500
0.1208 0.0000 0.7500
0.7031 0.7238 0.4706
0.9793 0.2762 0.0294
0.2969 0.2762 0.5294
0.0207 0.7238 0.9706
```

Calculated values
space group	No. 15
total energy	-8.02	eV/atom

Entry 11:
Here is a relaxed Th3Ga4Tc2 crystal from Alexandria. Energies are from PBE-GGA.

```
Th3Ga4Tc2
1.0
-5.5459 0.6654 -3.9341
-0.8045 -7.5516 -1.9878
-5.4043 -0.8521 5.6296
Th Ga Tc
6 8 4
direct
0.8383 0.0177 0.2876
0.6617 0.7124 0.9823
0.1617 0.9823 0.7124
0.3383 0.2876 0.0177
0.2500 0.5974 0.4026
0.7500 0.4026 0.5974
0.3801 0.9588 0.2613
0.1199 0.7387 0.0412
0.6199 0.0412 0.7387
0.8801 0.2613 0.9588
0.1453 0.2271 0.3986
0.3547 0.6014 0.7729
0.8547 0.7729 0.6014
0.6453 0.3986 0.2271
0.5109 0.1953 0.4625
0.9891 0.5375 0.8047
0.4891 0.8047 0.5375
0.0109 0.4625 0.1953
```

Calculated values
polymorph energy (0 for the lowest one)	1.23	eV per formula unit
space group	No. 15

Entry 12:
Here is a relaxed Th2Ga6Tc crystal from Alexandria. Energies are from PBE-GGA.

```
Th2Ga6Tc
1.0
5.4756 0.0000 3.1613
1.8252 5.1624 3.1613
0.0000 0.0000 6.3227
Th Ga Tc
2 6 1
direct
0.2500 0.2500 0.2500
0.7500 0.7500 0.7500
0.2856 0.7144 0.7144
0.2856 0.7144 0.2856
0.7144 0.2856 0.7144
0.7144 0.2856 0.2856
0.7144 0.7144 0.2856
0.2856 0.2856 0.7144
0.0000 0.0000 0.0000
```

Calculated values
space group	No. 225
total energy	-5.31	eV/atom

Entry 13:
Here is a relaxed ThGa2Tc4 crystal from Alexandria. Energies are from PBE-GGA.

```
ThGa2Tc4
1.0
4.2402 0.0000 0.0000
0.0000 4.0647 -1.2072
0.0000 -0.0303 7.3444
Ga Th Tc
2 1 4
direct
0.5000 0.5889 0.1778
0.5000 0.4111 0.8222
0.0000 0.0000 0.0000
0.5000 0.8001 0.6002
0.0000 0.6996 0.3992
0.5000 0.1999 0.3998
0.0000 0.3004 0.6008
```

Calculated values
space group	No. 65
total energy	-8.14	eV/atom

Entry 14:
Here is a relaxed Th3GaTc crystal from Alexandria. Energies are from PBE-GGA.

```
Th3GaTc
1.0
5.1805 0.0000 0.0000
0.0000 7.8470 0.0000
0.0000 -3.9235 7.1506
Th Ga Tc
6 2 2
direct
0.5000 0.3107 0.0000
0.0000 0.8744 0.7488
0.5000 0.6893 0.0000
0.5000 0.5000 0.5000
0.0000 0.1256 0.2512
0.5000 0.0000 0.5000
0.0000 0.6341 0.2682
0.0000 0.3659 0.7318
0.5000 0.1127 0.2255
0.5000 0.8873 0.7745
```

Calculated values
polymorph energy (0 for the lowest one)	0.90	eV per formula unit
space group	No. 65

Entry 15:
Here is a relaxed Th4GaTc crystal from Alexandria. Energies are from PBE-GGA.

```
Th4GaTc
1.0
6.1049 0.0000 0.0000
0.0000 7.2818 0.0000
0.0000 0.0000 7.2818
Th Ga Tc
8 2 2
direct
0.0000 0.1754 0.6511
0.0000 0.8246 0.3489
0.0000 0.3489 0.1754
0.0000 0.6511 0.8246
0.5000 0.8246 0.6511
0.5000 0.1754 0.3489
0.5000 0.6511 0.1754
0.5000 0.3489 0.8246
0.2500 0.0000 0.0000
0.7500 0.0000 0.0000
0.2500 0.5000 0.5000
0.7500 0.5000 0.5000
```

Calculated values
polymorph energy (0 for the lowest one)	0.00	eV per formula unit
space group	No. 124

Entry 16:
Here is a relaxed Th3Ga2Tc crystal from Alexandria. Energies are from PBE-GGA.

```
Th3Ga2Tc
1.0
-4.3256 2.6858 2.9770
-2.1415 -6.8068 3.0293
7.1274 1.4307 3.2230
Th Ga Tc
6 4 2
direct
0.5030 0.2500 0.0000
0.4970 0.7500 0.0000
0.1420 0.0742 0.2814
0.8606 0.4258 0.7186
0.1394 0.5742 0.2814
0.8580 0.9258 0.7186
0.6838 0.5841 0.3700
0.6863 0.0841 0.3700
0.3137 0.9159 0.6300
0.3162 0.4159 0.6300
0.9788 0.7500 0.0000
0.0212 0.2500 0.0000
```

Calculated values
polymorph energy (0 for the lowest one)	1.39	eV per formula unit
space group	No. 15

Entry 17:
Here is a relaxed ThGa3Tc crystal from Alexandria. Energies are from PBE-GGA.

```
ThGa3Tc
1.0
-2.6398 -2.1896 -4.4090
-0.3325 -5.1173 2.7489
-4.5045 4.5792 1.8344
Th Ga Tc
2 6 2
direct
0.9404 0.6498 0.2436
0.3435 0.4480 0.8401
0.9452 0.2353 0.4146
0.4603 0.4444 0.3342
0.8237 0.6535 0.7496
0.4600 0.9445 0.3335
0.8239 0.1534 0.7503
0.3387 0.8625 0.6692
0.6420 0.0489 0.0419
0.1420 0.0489 0.0419
```

Calculated values
polymorph energy (0 for the lowest one)	0.00	eV per formula unit
space group	No. 2

Entry 18:
Here is a relaxed Th2GaTc crystal from Alexandria. Energies are from PBE-GGA.

```
Th2GaTc
1.0
-2.7054 2.7934 -0.8048
-4.5164 -4.0903 0.9849
2.0883 4.1406 7.3524
Th Ga Tc
4 2 2
direct
0.7500 0.2254 0.4523
0.2500 0.7746 0.5477
0.2500 0.7832 0.0948
0.7500 0.2168 0.9052
0.2500 0.3503 0.2098
0.7500 0.6497 0.7902
0.7500 0.6794 0.2882
0.2500 0.3206 0.7118
```

Calculated values
space group	No. 11
total energy	-7.41	eV/atom

Entry 19:
Here is a relaxed Th4GaTc crystal from Alexandria. Energies are from PBE-GGA.

```
Th4GaTc
1.0
6.8982 -0.1449 0.0000
-1.3455 7.3124 0.0000
-2.7763 -3.5838 7.2454
Th Ga Tc
8 2 2
direct
0.2878 0.9569 0.5541
0.0462 0.8019 0.0732
0.2337 0.4028 0.4459
0.4730 0.7288 0.9268
0.7122 0.0431 0.4459
0.7663 0.5972 0.5541
0.9538 0.1981 0.9268
0.5270 0.2712 0.0732
0.3665 0.6165 0.2330
0.6335 0.3835 0.7670
0.8475 0.0975 0.1951
0.1525 0.9025 0.8049
```

Calculated values
polymorph energy (0 for the lowest one)	1.17	eV per formula unit
space group	No. 15

Entry 20:
Here is a relaxed Th3Ga3Tc crystal from Alexandria. Energies are from PBE-GGA.

```
Th3Ga3Tc
1.0
-2.8250 -0.8102 -2.9672
2.6144 -2.5540 -4.7309
-2.5384 -13.8822 3.2683
Th Ga Tc
6 6 2
direct
0.5257 0.3326 0.6161
0.4743 0.6674 0.3839
0.2594 0.2469 0.2343
0.7406 0.7531 0.7657
0.3828 0.3132 0.9212
0.6172 0.6868 0.0788
0.8382 0.7874 0.5363
0.1618 0.2126 0.4637
0.0994 0.8731 0.9281
0.9006 0.1269 0.0719
0.9768 0.8207 0.2256
0.0232 0.1793 0.7744
0.7724 0.0854 0.3698
0.2276 0.9146 0.6302
```

Calculated values
space group	No. 12
total energy	-6.39	eV/atom